[1]
Material: BaLiMg2Ga4
Method: DFT, GGA-PBE
State: optimized geometry

Unit cell a=4.6727 b=4.6727 c=10.1428 alpha=76.68 beta=76.68 gamma=60.00
Last column: nearest neighbours and their distance in Å.
Element x y z (fractional)
Ga 0.1277 0.1277 0.6168  4 Mg 2.79-2.99, 3 Li 2.93
Ga 0.4060 0.4060 0.7820  1 Li 2.76, 3 Mg 2.85
Ga 0.8723 0.8723 0.3832  4 Mg 2.79-2.99, 3 Li 2.93
Ga 0.5940 0.5940 0.2180  1 Li 2.76, 3 Mg 2.85
Ba 0.0000 0.0000 0.0000  8 Ga 3.44-3.75
Li 0.5000 0.5000 0.5000  8 Ga 2.76-2.93
Mg 0.7704 0.7704 0.6887  7 Ga 2.79-2.99
Mg 0.2296 0.2296 0.3113  7 Ga 2.79-2.99

Calculated values
mass density	4.237	g cm⁻³
formation energy	-247	meV per atom
uncorrected energy	-0.1940	Ry/atom



[2]
Material: BaLiMgGa
Method: DFT, GGA-PBE
State: optimized geometry

Unit cell a=4.7529 b=4.7529 c=6.7159 alpha=69.28 beta=69.28 gamma=60.00
Last column: nearest neighbours and their distance in Å.
Element x y z (fractional)
Ba 0.8124 0.8124 0.5629  4 Mg 3.47-3.82, 4 Ga 3.59-3.74
Ga 0.6171 0.6171 0.1486  3 Li 2.75, 3 Mg 2.90
Mg 0.0008 0.0008 0.9976  3 Li 2.83, 3 Ga 2.90
Li 0.2956 0.2956 0.1133  3 Ga 2.75, 3 Mg 2.83

Calculated values
polymorph energy (0 for the lowest one)	0	meV/atom
mass density	3.300	g cm⁻³
formation energy	-188	meV per atom
uncorrected energy	-0.1692	Ry/atom



- Which formula does entry 2 have?
  BaLiMgGa



- Among the records above, which one has the lowest uncorrected energy?
  BaLiMg2Ga4